Computed, not measured: a relaxed Hf2PaO crystal at the PBE level of DFT.

a = 3.185 Å, b = 3.185 Å, c = 8.794 Å
α = 79.57°, β = 79.57°, γ = 60.00°
Atoms (fractional coordinates):
1 Hf 0.117 0.117 0.650
2 Hf 0.883 0.883 0.350
3 Pa 0.000 0.000 0.000
4 O 0.500 0.500 0.500

Results
total energy	-37.63	eV per cell
distance to the lowest polymorph of the same formula	0	meV per atom
DOS(E_F)	4.825	states/eV/cell